The following is a PBE calculation of HfSnPd6 after structural relaxation, from Alexandria.

Offset from the most stable computed form in eV/f.u.: 1.46
SG: P-1

extended XYZ file:
```
8
Lattice="5.137 0.000 0.000 -0.392 5.151 0.000 -0.400 -0.445 5.135" Properties=species:S:1:pos:R:3 pbc="T T T"
Hf 0.000 0.000 0.000
Sn 2.173 2.353 2.568
Pd -0.268 2.004 3.851
Pd 0.689 4.680 2.819
Pd 2.025 3.844 0.215
Pd 2.321 0.863 4.920
Pd 3.657 0.026 2.316
Pd 4.614 2.703 1.284
```

=====

The following is a PBE calculation of ScMoSe after structural relaxation, from Alexandria.

Offset from the most stable computed form in eV/f.u.: 0.00
SG: I4mm
Formation energy (no corrections) in eV/atom: -0.32

extended XYZ file:
```
3
Lattice="-1.647 1.647 5.057 1.647 -1.647 5.057 1.647 1.647 -5.057" Properties=species:S:1:pos:R:3 pbc="T T T"
Sc 0.000 0.000 0.000
Mo 0.000 0.000 3.161
Se 0.000 0.000 7.070
```

=====

- Number 1 is which compound?
  HfSnPd6